! Al5FeNi, relaxed, DFT PBEsol; values from VASP
! Space-group type ... Amm2, No. 38
! ρ ... 4325 kg/m3
! Energy relative to the elements ... -0.392 eV per atom
! Crystal system ... orthorhombic
&SYSTEM
  ibrav = 0, nat = 28, ntyp = 3
/
ATOMIC_SPECIES
Al 26.98 Al.upf
Fe 55.84 Fe.upf
Ni 58.69 Ni.upf
ATOMIC_POSITIONS crystal
Al 0.0000 0.0665 0.0665
Al 0.0000 0.0710 0.6570
Al 0.0000 0.6570 0.0710
Al 0.1860 0.4064 0.4064
Al 0.1909 0.3994 0.9915
Al 0.1909 0.9915 0.3994
Al 0.2467 0.5985 0.5985
Al 0.3015 0.2035 0.7965
Al 0.3015 0.7965 0.2035
Al 0.3076 0.7955 0.7955
Al 0.5000 0.1282 0.1282
Al 0.5000 0.1288 0.5404
Al 0.5000 0.5404 0.1288
Al 0.6924 0.7955 0.7955
Al 0.6985 0.2035 0.7965
Al 0.6985 0.7965 0.2035
Al 0.7533 0.5985 0.5985
Al 0.8091 0.3994 0.9915
Al 0.8091 0.9915 0.3994
Al 0.8140 0.4064 0.4064
Fe 0.0000 0.2668 0.2668
Fe 0.0000 0.3457 0.7271
Fe 0.0000 0.7271 0.3457
Fe 0.5000 0.9340 0.9340
Ni 0.0000 0.7249 0.7249
Ni 0.5000 0.4724 0.4724
Ni 0.5000 0.4776 0.8486
Ni 0.5000 0.8486 0.4776
CELL_PARAMETERS angstrom
7.6033 0.0000 0.0000
0.0000 3.8091 6.6133
0.0000 -3.8091 6.6133